La2Er2Th15 | Alexandria via LeMat-Bulk | PBE-GGA | relaxed; symmetry = R-3m (166); energy relative to the elements = 296.7 meV per atom; D(E_F) = 1.92 states/eV/atom
1.0
5.766 3.329 5.716
-5.766 3.329 5.716
0.000 -6.658 5.716
La Er Th
2 2 15
Direct
0.108 0.108 0.108
0.892 0.892 0.892
0.365 0.365 0.365
0.635 0.635 0.635
0.000 0.000 0.500
0.000 0.322 0.678
0.000 0.500 0.000
0.000 0.678 0.322
0.184 0.661 0.661
0.322 0.000 0.678
0.322 0.678 0.000
0.339 0.339 0.816
0.339 0.816 0.339
0.500 0.000 0.000
0.661 0.184 0.661
0.661 0.661 0.184
0.678 0.000 0.322
0.678 0.322 0.000
0.816 0.339 0.339